No. 1
# PBE NaCaCdRh, optimized geometry
# Mass density, g cm⁻³: 5.460
# ΔH_f (0 K), eV/atom: -0.146
# Uncorrected energy, Ha/atom: -0.1118
data_NaCaCdRh
_cell_length_a 6.970
_cell_length_b 6.970
_cell_length_c 6.970
_cell_angle_alpha 90.00
_cell_angle_beta 90.00
_cell_angle_gamma 90.00
_space_group_name_H-M_alt 'F -4 3 m'
_space_group_IT_number 216
_space_group_name_Hall 'F -4 2 3'
loop_
_atom_site_label
_atom_site_fract_x
_atom_site_fract_y
_atom_site_fract_z
_atom_site_occupancy
Na1 0.000 0.000 0.000 1
Ca1 0.250 0.250 0.750 1
Cd1 0.250 0.250 0.250 1
Rh1 0.000 0.000 0.500 1


No. 2
# PBE NaCaCd2Rh, optimized geometry
# Mass density, g cm⁻³: 4.526
# ΔH_f (0 K), eV/atom: -0.128
# Uncorrected energy, Ha/atom: -0.0966
data_NaCaCd2Rh
_cell_length_a 5.268
_cell_length_b 5.268
_cell_length_c 5.166
_cell_angle_alpha 90.00
_cell_angle_beta 90.00
_cell_angle_gamma 90.00
_space_group_name_H-M_alt 'P 4/m m m'
_space_group_IT_number 123
_space_group_name_Hall '-P 4 2'
loop_
_atom_site_label
_atom_site_fract_x
_atom_site_fract_y
_atom_site_fract_z
_atom_site_occupancy
Na1 0.000 0.000 0.000 1
Ca1 0.500 0.500 0.000 1
Cd1 0.000 0.500 0.500 1
Rh1 0.500 0.500 0.500 1


No. 3
# PBE NaCa2CdRh, optimized geometry
# Mass density, g cm⁻³: 3.361
# ΔH_f (0 K), eV/atom: -0.186
# Uncorrected energy, Ha/atom: -0.1067
data_NaCa2CdRh
_cell_length_a 5.401
_cell_length_b 5.401
_cell_length_c 5.394
_cell_angle_alpha 90.00
_cell_angle_beta 90.00
_cell_angle_gamma 90.00
_space_group_name_H-M_alt 'P 4/m m m'
_space_group_IT_number 123
_space_group_name_Hall '-P 4 2'
loop_
_atom_site_label
_atom_site_fract_x
_atom_site_fract_y
_atom_site_fract_z
_atom_site_occupancy
Na1 0.000 0.000 0.000 1
Ca1 0.000 0.500 0.500 1
Cd1 0.500 0.500 0.000 1
Rh1 0.500 0.500 0.500 1


No. 4
# PBE Na2CaCdSb2, optimized geometry
# Formation energy (no corrections), eV per atom: -0.600
# Mass density, g cm⁻³: 4.294
# Uncorrected energy, Ha/atom: -0.1066
data_Na2CaCdSb2
_cell_length_a 4.707
_cell_length_b 9.221
_cell_length_c 7.875
_cell_angle_alpha 90.00
_cell_angle_beta 90.00
_cell_angle_gamma 90.00
_space_group_name_H-M_alt 'P m c 21'
_space_group_IT_number 26
_space_group_name_Hall 'P 2c -2'
loop_
_atom_site_label
_atom_site_fract_x
_atom_site_fract_y
_atom_site_fract_z
_atom_site_occupancy
Na1 0.000 0.081 0.000 1
Na2 0.500 0.171 0.319 1
Ca1 0.500 0.441 0.944 1
Cd1 0.000 0.311 0.605 1
Sb1 0.000 0.382 0.229 1
Sb2 0.500 0.155 0.718 1


Among the records above, which one has the highest uncorrected energy? NaCaCd2Rh


Which value of mass density does entry 1 give? 5.460 g cm⁻³


Look up the uncorrected energy of the first one. -0.1118 Ha/atom